Entry 1:
Below is crystalline KMgRe4 at its relaxed geometry, with properties calculated at the PBE level.

Lattice parameters (Å, degrees): 5.3799 5.3799 5.3799 60.00 60.00 60.00
Sites, in units of the cell vectors:
1 Re 0.3749 0.3749 0.8753
2 Re 0.3749 0.8753 0.3749
3 Re 0.3749 0.3749 0.3749
4 Re 0.8753 0.3749 0.3749
5 K 0.7500 0.7500 0.7500
6 Mg 0.0000 0.0000 0.0000

* formation enthalpy at 0 K: 878 meV/atom
* DOS(E_F): 1.1361 states/eV per atom
* space-group type: F-43m

***

Entry 2:
Below is crystalline SnGe3Te6 at its relaxed geometry, with properties calculated at the PBE level.

Lattice parameters (Å, degrees): 4.0421 13.5348 13.1508 115.57 90.00 90.00
Sites, in units of the cell vectors:
1 Sn 0.7500 0.1632 0.7297
2 Sn 0.2500 0.8368 0.2703
3 Ge 0.2500 0.2400 0.4919
4 Ge 0.2500 0.4732 0.1121
5 Ge 0.7500 0.5268 0.8879
6 Ge 0.7500 0.1361 0.0505
7 Ge 0.2500 0.8639 0.9495
8 Ge 0.7500 0.7600 0.5081
9 Te 0.2500 0.3266 0.7342
10 Te 0.2500 0.9081 0.5394
11 Te 0.7500 0.3256 0.0023
12 Te 0.2500 0.4466 0.3083
13 Te 0.7500 0.9581 0.1173
14 Te 0.2500 0.2255 0.2407
15 Te 0.7500 0.0919 0.4606
16 Te 0.7500 0.6734 0.2658
17 Te 0.2500 0.0419 0.8827
18 Te 0.2500 0.6744 0.9977
19 Te 0.7500 0.7745 0.7593
20 Te 0.7500 0.5534 0.6917

* DOS(E_F): 0.3548 states/eV per atom
* space-group type: P2_1/m

***

Entry 3:
Below is crystalline ZrCoAg2 at its relaxed geometry, with properties calculated at the PBE level.

Lattice parameters (Å, degrees): 4.7563 5.7142 2.9124 76.77 86.43 113.60
Site moments in Bohr magnetons follow the coordinates.
Sites, in units of the cell vectors:
1 Ag 0.0000 0.0000 0.0000  -0.01
2 Ag 0.5000 0.0000 0.5000  -0.01
3 Co 0.0000 0.5000 0.5000  1.03
4 Zr 0.5000 0.5000 0.0000  -0.07

* formation enthalpy at 0 K: 261 meV/atom
* DOS(E_F): 0.9075 states/eV per atom
* space-group type: C2/m

***

Number 1: total DFT energy (no corrections) -47.22 eV per cell, spin magnetization 0.002 μB/cell. Number 2: total DFT energy (no corrections) -74.02 eV per cell, spin magnetization 0.000 μB/cell. Number 3: total DFT energy (no corrections) -20.31 eV per cell, spin magnetization 0.881 μB/cell.